Entry 1:
A plane-wave DFT calculation with SCAN was carried out for SrCuW3 at its PBEsol-relaxed geometry.

Unit cell a=4.673 b=4.673 c=4.673 alpha=90.00 beta=90.00 gamma=90.00
Fractional coordinates of all 5 atoms:
Sr 0.000 0.000 0.000
Cu 0.500 0.500 0.500
W 0.000 0.000 0.500
W 0.000 0.500 0.000
W 0.500 0.000 0.000

M_tot, μB per cell: 0.000
Calculated formation energy, eV per formula unit: 20.7


Entry 2:
A plane-wave DFT calculation with SCAN was carried out for ScGaRh2Pb at its PBEsol-relaxed geometry.

Unit cell a=4.529 b=4.529 c=4.908 alpha=90.00 beta=90.00 gamma=90.00
Fractional coordinates of all 5 atoms:
Sc 0.000 0.000 0.000
Ga 0.000 0.000 0.500
Rh 0.000 0.500 0.500
Rh 0.500 0.000 0.500
Pb 0.500 0.500 0.000

M_tot, μB per cell: 0.000
Calculated formation energy, eV per formula unit: 0.8


Entry 3:
A plane-wave DFT calculation with SCAN was carried out for CaLaTaFeO6 at its PBEsol-relaxed geometry.

Unit cell a=5.436 b=5.480 c=9.412 alpha=90.00 beta=125.05 gamma=90.00
Fractional coordinates of all 20 atoms:
Ca 0.000 0.209 0.000
Ca 0.000 0.791 0.500
La 0.518 0.282 0.503
La 0.518 0.718 0.003
Ta 0.261 0.248 0.753
Ta 0.261 0.752 0.253
Fe 0.760 0.253 0.252
Fe 0.760 0.747 0.752
O 0.009 0.461 0.213
O 0.009 0.539 0.713
O 0.072 0.234 0.500
O 0.072 0.766 0.000
O 0.437 0.260 0.005
O 0.437 0.740 0.505
O 0.514 0.037 0.287
O 0.514 0.963 0.787
O 0.591 0.461 0.790
O 0.591 0.539 0.290
O 0.941 0.029 0.719
O 0.941 0.971 0.219

Formation energy from raw total energies, eV per atom: -3.021
M_tot, μB per cell: 0.094


Entry 4:
A plane-wave DFT calculation with SCAN was carried out for LaScPt2 at its PBEsol-relaxed geometry.

Unit cell a=5.516 b=5.516 c=5.516 alpha=48.47 beta=48.47 gamma=48.47
Fractional coordinates of all 4 atoms:
La 0.000 0.000 0.000
Sc 0.500 0.500 0.500
Pt 0.217 0.217 0.217
Pt 0.783 0.783 0.783

M_tot, μB per cell: 0.000
Calculated formation energy, eV per formula unit: -5.3


Entry 5:
A plane-wave DFT calculation with SCAN was carried out for YZrCl2 at its PBEsol-relaxed geometry.

Unit cell a=3.391 b=4.402 c=5.668 alpha=90.00 beta=94.65 gamma=90.00
Fractional coordinates of all 4 atoms:
Y 0.000 0.000 0.000
Zr 0.500 0.000 0.500
Cl 0.312 0.500 0.255
Cl 0.688 0.500 0.745

Formation energy from raw total energies, eV per atom: -1.088
M_tot, μB per cell: 0.244
Energy above the lowest structure with this stoichiometry, meV/atom: 0


Entry 6:
A plane-wave DFT calculation with SCAN was carried out for LaCoAg2 at its PBEsol-relaxed geometry.

Unit cell a=3.904 b=3.904 c=4.848 alpha=90.00 beta=90.00 gamma=90.00
Fractional coordinates of all 4 atoms:
La 0.000 0.000 0.000
Co 0.500 0.500 0.000
Ag 0.000 0.500 0.500
Ag 0.500 0.000 0.500

M_tot, μB per cell: 0.000
Calculated formation energy, eV per formula unit: 0.9


Entry 7:
A plane-wave DFT calculation with SCAN was carried out for Cs2CrSbRu at its PBEsol-relaxed geometry.

Unit cell a=7.284 b=7.284 c=5.010 alpha=90.00 beta=90.00 gamma=90.00
Fractional coordinates of all 5 atoms:
Cs 0.000 0.500 0.000
Cs 0.500 0.000 0.000
Cr 0.000 0.000 0.500
Sb 0.000 0.000 0.000
Ru 0.500 0.500 0.500

Formation energy from raw total energies, eV per atom: 0.979
M_tot, μB per cell: 7.261


Entry 8:
A plane-wave DFT calculation with SCAN was carried out for AsPb3 at its PBEsol-relaxed geometry.

Unit cell a=3.670 b=3.670 c=7.979 alpha=90.00 beta=90.00 gamma=90.00
Fractional coordinates of all 4 atoms:
As 0.000 0.000 0.000
Pb 0.000 0.000 0.500
Pb 0.500 0.500 0.214
Pb 0.500 0.500 0.786

M_tot, μB per cell: 0.000
Calculated formation energy, eV per formula unit: 0.5
Energy above the lowest structure with this stoichiometry, meV/atom: 65


Entry 9:
A plane-wave DFT calculation with SCAN was carried out for K2MnS2 at its PBEsol-relaxed geometry.

Unit cell a=7.761 b=7.761 c=7.761 alpha=128.03 beta=72.52 gamma=133.18
Fractional coordinates of all 10 atoms:
K 0.147 0.160 0.306
K 0.353 0.660 0.013
K 0.647 0.340 0.987
K 0.853 0.840 0.694
Mn 0.250 0.750 0.500
Mn 0.750 0.250 0.500
S 0.103 0.694 0.797
S 0.397 0.194 0.591
S 0.603 0.806 0.409
S 0.897 0.306 0.203

Formation energy from raw total energies, eV per atom: -1.332
M_tot, μB per cell: 10.000


Entry 10:
A plane-wave DFT calculation with SCAN was carried out for ZrTa5 at its PBEsol-relaxed geometry.

Unit cell a=4.937 b=8.359 c=8.359 alpha=18.80 beta=90.00 gamma=90.00
Fractional coordinates of all 6 atoms:
Zr 0.000 0.000 0.000
Ta 0.000 0.331 0.331
Ta 0.000 0.669 0.669
Ta 0.500 0.091 0.091
Ta 0.500 0.419 0.419
Ta 0.500 0.756 0.756

M_tot, μB per cell: 0.000
Calculated formation energy, eV per formula unit: 1.4


Entry 11:
A plane-wave DFT calculation with SCAN was carried out for Zn3BiRu at its PBEsol-relaxed geometry.

Unit cell a=5.123 b=5.123 c=5.123 alpha=90.00 beta=90.00 gamma=90.00
Fractional coordinates of all 5 atoms:
Zn 0.000 0.000 0.500
Zn 0.000 0.500 0.000
Zn 0.500 0.000 0.000
Bi 0.000 0.000 0.000
Ru 0.500 0.500 0.500

M_tot, μB per cell: 2.511
Calculated formation energy, eV per formula unit: 7.9


Entry 12:
A plane-wave DFT calculation with SCAN was carried out for Er2MgGe2 at its PBEsol-relaxed geometry.

Unit cell a=7.135 b=7.135 c=4.140 alpha=90.00 beta=90.00 gamma=90.00
Fractional coordinates of all 10 atoms:
Er 0.177 0.323 0.000
Er 0.323 0.823 0.000
Er 0.677 0.177 0.000
Er 0.823 0.677 0.000
Mg 0.000 0.000 0.500
Mg 0.500 0.500 0.500
Ge 0.124 0.624 0.500
Ge 0.376 0.124 0.500
Ge 0.624 0.876 0.500
Ge 0.876 0.376 0.500

M_tot, μB per cell: 0.000
Calculated formation energy, eV per formula unit: -4.2


Please write out number 6 again, unchanged.
A plane-wave DFT calculation with SCAN was carried out for LaCoAg2 at its PBEsol-relaxed geometry.

Unit cell a=3.904 b=3.904 c=4.848 alpha=90.00 beta=90.00 gamma=90.00
Fractional coordinates of all 4 atoms:
La 0.000 0.000 0.000
Co 0.500 0.500 0.000
Ag 0.000 0.500 0.500
Ag 0.500 0.000 0.500

M_tot, μB per cell: 0.000
Calculated formation energy, eV per formula unit: 0.9